Below is an optimized crystal structure of AlCr2Cu, with properties calculated at the PBE level.

The space group is Cmm2 (No. 35) and the conventional cell measures 2.9305, 4.2144 and 8.0942 Å, with angles of 90.00, 90.00 and 90.00 degrees. The inequivalent atoms are Al at (0.0000, 0.0000, 0.0000), Cr at (0.0000, 0.0000, 0.4859), Cr at (0.0000, 0.5000, 0.2579) and Cu at (0.0000, 0.5000, 0.7446).

The calculation puts the formation energy at 62.2 meV/atom. The calculation puts the total magnetization at 0.0 μB per formula unit. As for the calculated volume: 100 Å³/cell.

=====

Below is an optimized crystal structure of PuTlHgPd, with properties calculated at the PBE level.

The space group is F-43m (No. 216) and the conventional cell measures 7.1888, 7.1888 and 7.1888 Å, with angles of 90.00, 90.00 and 90.00 degrees. The inequivalent atoms are Pu at (0.0000, 0.0000, 0.0000), Tl at (0.0000, 0.0000, 0.5000), Hg at (0.2500, 0.2500, 0.2500) and Pd at (0.2500, 0.2500, 0.7500).

The calculation puts the formation energy at -138.8 meV/atom. The calculation puts the total magnetization at 5.5 μB per formula unit. As for the calculated volume: 372 Å³/cell.

=====

Below is an optimized crystal structure of LiPt2W, with properties calculated at the PBE level.

The space group is P4/mmm (No. 123) and the conventional cell measures 2.8436, 2.8436 and 7.0907 Å, with angles of 90.00, 90.00 and 90.00 degrees. The inequivalent atoms are Li at (0.0000, 0.0000, 0.0000), Pt at (0.5000, 0.5000, 0.2346) and W at (0.0000, 0.0000, 0.5000).

The calculation puts the formation energy at -418.7 meV/atom. The calculation puts the total magnetization at 0.0 μB per formula unit. As for the calculated volume: 57 Å³/cell.

=====

Below is an optimized crystal structure of HoBeNi2, with properties calculated at the PBE level.

The space group is Cmmm (No. 65) and the conventional cell measures 5.1391, 6.5715 and 3.5527 Å, with angles of 90.00, 90.00 and 90.00 degrees. The inequivalent atoms are Ho at (0.0000, 0.0000, 0.0000), Be at (0.0000, 0.5000, 0.0000) and Ni at (0.0000, 0.3195, 0.5000).

As for the energy above the most stable polymorph in this dataset: 1.42 eV per formula unit. The calculation puts the formation energy at -42.6 meV/atom. The calculation puts the total magnetization at 0.0 μB per formula unit. As for the calculated volume: 120 Å³/cell.

=====

Below is an optimized crystal structure of Ho4ErAgS8, with properties calculated at the PBE level.

The space group is R3m (No. 160, hexagonal axes) and the conventional cell measures 7.9906, 7.9906 and 19.5387 Å, with angles of 90.00, 90.00 and 120.00 degrees. The inequivalent atoms are Ho at (0.0000, 0.0000, 0.0000), Ho at (0.1725, 0.3449, 0.2070), Er at (0.0000, 0.0000, 0.3795), Ag at (0.0000, 0.0000, 0.7503), S at (0.0000, 0.0000, 0.1335), S at (0.0000, 0.0000, 0.6173), S at (0.0215, 0.5108, 0.1274) and S at (0.1783, 0.3565, 0.9560).

The calculation puts the uncorrected energy at -6.029 eV/atom. The calculation puts the total magnetization at 0.0 μB per formula unit. As for the calculated volume: 1080 Å³/cell.

=====

Below is an optimized crystal structure of AcPuGaHg, with properties calculated at the PBE level.

The space group is F-43m (No. 216) and the conventional cell measures 7.7159, 7.7159 and 7.7159 Å, with angles of 90.00, 90.00 and 90.00 degrees. The inequivalent atoms are Ac at (0.0000, 0.0000, 0.0000), Pu at (0.0000, 0.0000, 0.5000), Ga at (0.2500, 0.2500, 0.2500) and Hg at (0.2500, 0.2500, 0.7500).

The calculation puts the formation energy at -264.9 meV/atom. The calculation puts the total magnetization at 6.4 μB per formula unit. As for the calculated volume: 459 Å³/cell.

=====

Below is an optimized crystal structure of Pa2GaNi4Ge3, with properties calculated at the PBE level.

The space group is P-4m2 (No. 115) and the conventional cell measures 4.0867, 4.0867 and 9.6108 Å, with angles of 90.00, 90.00 and 90.00 degrees. The inequivalent atoms are Pa at (0.0000, 0.5000, 0.2427), Ga at (0.0000, 0.0000, 0.5000), Ni at (0.0000, 0.0000, 0.0000), Ni at (0.0000, 0.5000, 0.6321), Ni at (0.5000, 0.5000, 0.0000), Ge at (0.0000, 0.5000, 0.8715) and Ge at (0.5000, 0.5000, 0.5000).

The calculation puts the formation energy at -605.0 meV/atom. The calculation puts the total magnetization at 0.0 μB per formula unit. As for the calculated volume: 161 Å³/cell.

=====

Below is an optimized crystal structure of LuHfZnAu, with properties calculated at the PBE level.

The space group is F-43m (No. 216) and the conventional cell measures 6.8722, 6.8722 and 6.8722 Å, with angles of 90.00, 90.00 and 90.00 degrees. The inequivalent atoms are Lu at (0.0000, 0.0000, 0.0000), Hf at (0.0000, 0.0000, 0.5000), Zn at (0.2500, 0.2500, 0.2500) and Au at (0.2500, 0.2500, 0.7500).

The calculation puts the formation energy at -387.3 meV/atom. The calculation puts the total magnetization at 0.7 μB per formula unit. As for the calculated volume: 325 Å³/cell.